Below is a relaxed CsNpFe2Cl8 crystal, with properties calculated at the GGA-PBE level.

Cell: 11.255 11.255 11.255 Å, 33.59 33.59 33.59°
Element x y z (fractional)
Cs 0.000 0.000 0.000
Np 0.500 0.500 0.500
Fe 0.246 0.246 0.246
Fe 0.754 0.754 0.754
Cl 0.119 0.451 0.764
Cl 0.236 0.549 0.881
Cl 0.316 0.316 0.316
Cl 0.451 0.764 0.119
Cl 0.549 0.881 0.236
Cl 0.684 0.684 0.684
Cl 0.764 0.119 0.451
Cl 0.881 0.236 0.549

Values from the calculation:
- density of states at the Fermi level (states/eV per atom) = 1.460
- ΔE_f (raw) (eV/atom) = -1.2396
- final energy (eV per atom) = -5.031
- space-group type = R32 (155)